1.
Nd2Al3Ag: relaxed, GGA-PBE.

Computed properties:
The value obtained for the energy relative to the elements is -41 kJ/mol of atoms. The energy above the most stable polymorph in this dataset is 22 meV per atom. As for the crystal system: orthorhombic.

Unit cell a=5.9932 b=5.9932 c=8.8820 alpha=105.85 beta=105.85 gamma=100.99
Atoms (fractional coordinates):
Nd1 0.2500 0.7500 0.5000
Nd2 0.7431 0.7431 0.0000
Nd3 0.7500 0.2500 0.5000
Nd4 0.2569 0.2569 0.0000
Al1 0.3306 0.8353 0.1659
Al2 0.1647 0.6694 0.8341
Al3 0.6694 0.1647 0.8341
Al4 0.8353 0.3306 0.1659
Al5 0.1648 0.1648 0.3295
Al6 0.8352 0.8352 0.6705
Ag1 0.6682 0.6682 0.3363
Ag2 0.3318 0.3318 0.6637



2.
Nd2Al3Ag2: relaxed, GGA-PBE.

Computed properties:
The value obtained for the energy relative to the elements is -35 kJ/mol of atoms. The energy above the most stable polymorph in this dataset is 0 meV per atom. As for the crystal system: monoclinic.

Unit cell a=4.5398 b=5.8975 c=6.8686 alpha=112.44 beta=90.00 gamma=112.64
Atoms (fractional coordinates):
Nd1 0.8472 0.6944 0.2230
Nd2 0.1528 0.3056 0.7770
Al1 0.5000 0.0000 0.0000
Al2 0.5965 0.1930 0.4276
Al3 0.4035 0.8070 0.5724
Ag1 0.8548 0.7096 0.7471
Ag2 0.1452 0.2904 0.2529



3.
Nd3Al2Ag: relaxed, GGA-PBE.

Computed properties:
The value obtained for the energy relative to the elements is -31 kJ/mol of atoms. As for the crystal system: tetragonal.

Unit cell a=3.5930 b=3.5930 c=12.0965 alpha=90.00 beta=90.00 gamma=90.00
Atoms (fractional coordinates):
Nd1 0.0000 0.0000 0.0000
Nd2 0.0000 0.0000 0.6696
Nd3 0.0000 0.0000 0.3304
Al1 0.5000 0.5000 0.8303
Al2 0.5000 0.5000 0.1697
Ag1 0.5000 0.5000 0.5000



4.
NdAl4Ag12: relaxed, GGA-PBE.

Computed properties:
The value obtained for the energy relative to the elements is 21 kJ/mol of atoms. As for the crystal system: cubic.

Unit cell a=7.8110 b=7.8110 c=7.8110 alpha=109.47 beta=109.47 gamma=109.47
Atoms (fractional coordinates):
Nd1 0.0000 0.0000 0.0000
Al1 0.0000 0.5000 0.0000
Al2 0.5000 0.0000 0.0000
Al3 0.5000 0.5000 0.5000
Al4 0.0000 0.0000 0.5000
Ag1 0.8446 0.3457 0.1903
Ag2 0.3457 0.5011 0.1554
Ag3 0.8097 0.1554 0.6543
Ag4 0.3457 0.1903 0.8446
Ag5 0.1903 0.8446 0.3457
Ag6 0.6543 0.4989 0.8446
Ag7 0.5011 0.1554 0.3457
Ag8 0.4989 0.8446 0.6543
Ag9 0.6543 0.8097 0.1554
Ag10 0.8446 0.6543 0.4989
Ag11 0.1554 0.3457 0.5011
Ag12 0.1554 0.6543 0.8097



5.
NdAlAg2: relaxed, GGA-PBE.

Computed properties:
The value obtained for the energy relative to the elements is -28 kJ/mol of atoms. As for the crystal system: cubic.

Unit cell a=4.9474 b=4.9474 c=4.9474 alpha=60.00 beta=60.00 gamma=60.00
Atoms (fractional coordinates):
Nd1 0.5000 0.5000 0.5000
Al1 0.0000 0.0000 0.0000
Ag1 0.7500 0.7500 0.7500
Ag2 0.2500 0.2500 0.2500



6.
Nd2Al3Ag4: relaxed, GGA-PBE.

Computed properties:
The value obtained for the energy relative to the elements is -28 kJ/mol of atoms. As for the crystal system: orthorhombic.

Unit cell a=5.8231 b=8.0897 c=8.5288 alpha=90.00 beta=109.96 gamma=90.00
Atoms (fractional coordinates):
Nd1 0.1050 0.5994 0.2100
Nd2 0.8950 0.4006 0.7900
Nd3 0.3950 0.0994 0.7900
Nd4 0.6050 0.9006 0.2100
Al1 0.0000 0.0000 0.0000
Al2 0.5000 0.5000 0.0000
Al3 0.5164 0.7500 0.5328
Al4 0.9836 0.2500 0.4672
Al5 0.4836 0.2500 0.4672
Al6 0.0164 0.7500 0.5328
Ag1 0.6845 0.7500 0.8690
Ag2 0.8155 0.2500 0.1310
Ag3 0.3155 0.2500 0.1310
Ag4 0.1845 0.7500 0.8690
Ag5 0.1820 0.9861 0.3640
Ag6 0.8180 0.0139 0.6360
Ag7 0.3180 0.4861 0.6360
Ag8 0.6820 0.5139 0.3640



7.
Nd6AlAg2: relaxed, GGA-PBE.

Computed properties:
The value obtained for the energy relative to the elements is -15 kJ/mol of atoms. As for the crystal system: orthorhombic.

Unit cell a=8.8855 b=8.8855 c=8.8855 alpha=109.48 beta=109.69 gamma=109.24
Atoms (fractional coordinates):
Nd1 0.5562 0.7352 0.8210
Nd2 0.4438 0.2648 0.1790
Nd3 0.0858 0.2648 0.8210
Nd4 0.9142 0.7352 0.1790
Nd5 0.8014 0.7516 0.5530
Nd6 0.1986 0.2484 0.4470
Nd7 0.1986 0.7516 0.9501
Nd8 0.8014 0.2484 0.0499
Nd9 0.7294 0.4030 0.6736
Nd10 0.2706 0.5970 0.3264
Nd11 0.2706 0.9442 0.6736
Nd12 0.7294 0.0558 0.3264
Al1 0.0000 0.5000 0.5000
Al2 0.0000 0.0000 0.0000
Ag1 0.5000 0.3660 0.8660
Ag2 0.5000 0.6340 0.1340
Ag3 0.6400 0.0000 0.6400
Ag4 0.3600 0.0000 0.3600



8.
NdAlAg: relaxed, GGA-PBE.

Computed properties:
The value obtained for the energy relative to the elements is -15 kJ/mol of atoms. As for the crystal system: hexagonal.

Unit cell a=6.4988 b=6.4988 c=11.8972 alpha=90.00 beta=90.00 gamma=120.00
Atoms (fractional coordinates):
Nd1 0.5000 0.0000 0.6667
Nd2 0.0000 0.0000 0.5000
Nd3 0.0000 0.0000 0.8333
Nd4 0.0000 0.0000 0.1667
Nd5 0.5000 0.5000 0.0000
Nd6 0.0000 0.5000 0.3333
Al1 0.3869 0.7738 0.1667
Al2 0.7738 0.3869 0.8333
Al3 0.6131 0.3869 0.5000
Al4 0.6131 0.2262 0.1667
Al5 0.3869 0.6131 0.5000
Al6 0.2262 0.6131 0.8333
Ag1 0.5000 0.5000 0.2957
Ag2 0.0000 0.5000 0.6290
Ag3 0.5000 0.5000 0.7043
Ag4 0.0000 0.5000 0.0376
Ag5 0.5000 0.0000 0.9624
Ag6 0.5000 0.0000 0.3710



Going through the records in order, we get calculated volume values of 141.43; 154.53; 156.16; 366.86; 85.63; 188.82; 270.01; 72.53 Å³/f.u..
Going through the records in order, we get Fermi-level density of states values of 0.732; 0.688; 0.732; 0.363; 0.253; 0.636; 1.142; 0.836 states/eV/atom.